Entry 1:
DFT (PBE) results for a geometry-optimized AgHgHPd2 structure.

Unit cell a=4.1315 b=4.1315 c=4.1837 alpha=90.00 beta=90.00 gamma=90.00
Space group P4/mmm (No. 123)
Asymmetric unit:
1 Ag 0.0000 0.0000 0.0000
2 Hg 0.5000 0.5000 0.0000
3 H 0.0000 0.0000 0.5000
4 Pd 0.0000 0.5000 0.5000

Values from the calculation:
crystal system = tetragonal
distance to the lowest polymorph of the same formula = 0.00 kcal/mol of atoms

***

Entry 2:
DFT (PBE) results for a geometry-optimized AgHg2HPd structure.

Unit cell a=4.9211 b=4.9211 c=3.3946 alpha=90.00 beta=90.00 gamma=90.00
Space group P4/mmm (No. 123)
Asymmetric unit:
1 Ag 0.0000 0.0000 0.0000
2 Hg 0.0000 0.5000 0.5000
3 H 0.5000 0.5000 0.5000
4 Pd 0.5000 0.5000 0.0000

Values from the calculation:
crystal system = tetragonal

***

Entry 3:
DFT (PBE) results for a geometry-optimized AgHgHPt2 structure.

Unit cell a=4.0211 b=4.0211 c=4.5070 alpha=90.00 beta=90.00 gamma=90.00
Space group P4/mmm (No. 123)
Asymmetric unit:
1 Ag 0.0000 0.0000 0.0000
2 Hg 0.5000 0.5000 0.0000
3 H 0.5000 0.5000 0.5000
4 Pt 0.0000 0.5000 0.5000

Values from the calculation:
crystal system = tetragonal
distance to the lowest polymorph of the same formula = 2.29 kcal/mol of atoms

***

Entry 4:
DFT (PBE) results for a geometry-optimized AgHgHPt2 structure.

Unit cell a=4.0715 b=4.0715 c=4.3490 alpha=90.00 beta=90.00 gamma=90.00
Space group P4/mmm (No. 123)
Asymmetric unit:
1 Ag 0.0000 0.0000 0.0000
2 Hg 0.5000 0.5000 0.0000
3 H 0.0000 0.0000 0.5000
4 Pt 0.0000 0.5000 0.5000

Values from the calculation:
crystal system = tetragonal
distance to the lowest polymorph of the same formula = 0.00 kcal/mol of atoms

***

Entry 5:
DFT (PBE) results for a geometry-optimized AgHg2HPt structure.

Unit cell a=4.9373 b=4.9373 c=3.4083 alpha=90.00 beta=90.00 gamma=90.00
Space group P4/mmm (No. 123)
Asymmetric unit:
1 Ag 0.0000 0.0000 0.0000
2 Hg 0.0000 0.5000 0.5000
3 H 0.5000 0.5000 0.5000
4 Pt 0.5000 0.5000 0.0000

Values from the calculation:
crystal system = tetragonal

***

Entry 6:
DFT (PBE) results for a geometry-optimized Rb2AgHgH structure.

Unit cell a=5.7377 b=5.7377 c=4.8163 alpha=90.00 beta=90.00 gamma=90.00
Space group P4/mmm (No. 123)
Asymmetric unit:
1 Rb 0.0000 0.5000 0.0000
2 Ag 0.0000 0.0000 0.5000
3 Hg 0.5000 0.5000 0.5000
4 H 0.5000 0.5000 0.0000

Values from the calculation:
crystal system = tetragonal
distance to the lowest polymorph of the same formula = 1.05 kcal/mol of atoms

***

Values of VASP energy, in order: -3.498 -2.280 -3.598 -3.697 -2.375 -1.649, all in eV per atom.